[1]
This record from Alexandria via LeMat-Bulk describes a relaxed CuBr3F crystal. The functional is PBE.

a b c (Å): 4.9109 4.9109 4.9109
angles (deg): 90.00 90.00 90.00
Last column: nearest neighbours and their distance in Å.
Sites, in units of the cell vectors:
1 Cu 0.5000 0.5000 0.5000  12 Br 3.47
2 Br 0.0000 0.5000 0.0000  2 F 2.46
3 Br 0.0000 0.0000 0.5000  2 F 2.46
4 Br 0.5000 0.0000 0.0000  2 F 2.46
5 F 0.0000 0.0000 0.0000  6 Br 2.46

Results
E ... -1.6769 eV/atom
Volume ... 23.688 Å³ per atom


[2]
This record from Alexandria via LeMat-Bulk describes a relaxed CuBrF2 crystal. The functional is PBE.

a b c (Å): 5.9662 5.9662 6.2393
angles (deg): 61.44 61.44 90.00
Last column: nearest neighbours and their distance in Å.
Sites, in units of the cell vectors:
1 Cu 0.5000 0.5000 0.0000  4 F 1.88
2 Cu 0.2500 0.7500 0.5000  4 F 1.88
3 Br 0.0000 0.0000 0.0000  12 F 3.50-3.76, 4 Br 3.77, 4 Cu 3.77
4 Br 0.7500 0.2500 0.5000  12 F 3.50-3.76, 4 Br 3.77, 4 Cu 3.77
5 F 0.3797 0.1250 0.2500  2 Cu 1.88
6 F 0.3703 0.6250 0.2500  2 Cu 1.88
7 F 0.3750 0.6203 0.7500  2 Cu 1.88
8 F 0.8750 0.6297 0.7500  2 Cu 1.88

Results
E ... -3.1203 eV/atom
Volume ... 20.454 Å³ per atom


[3]
This record from Alexandria via LeMat-Bulk describes a relaxed Cu3BrF crystal. The functional is PBE.

a b c (Å): 4.3100 4.3100 4.3100
angles (deg): 90.00 90.00 90.00
Last column: nearest neighbours and their distance in Å.
Sites, in units of the cell vectors:
1 Cu 0.0000 0.5000 0.0000  2 F 2.16
2 Cu 0.0000 0.0000 0.5000  2 F 2.16
3 Cu 0.5000 0.0000 0.0000  2 F 2.16
4 Br 0.5000 0.5000 0.5000  12 Cu 3.05
5 F 0.0000 0.0000 0.0000  6 Cu 2.16

Results
E ... -3.0720 eV/atom
Volume ... 16.013 Å³ per atom


[4]
This record from Alexandria via LeMat-Bulk describes a relaxed Cu3BrF7 crystal. The functional is PBE.

a b c (Å): 5.4866 7.0985 7.1026
angles (deg): 128.92 117.69 62.83
Last column: nearest neighbours and their distance in Å.
Sites, in units of the cell vectors:
1 Cu 0.7941 0.4985 0.5019  4 F 1.84-1.85
2 Cu 0.7974 0.5079 0.0109  5 F 1.93-1.99
3 Cu 0.7973 0.9892 0.4922  5 F 1.93-2.00
4 Br 0.4054 0.2978 0.6961  2 Cu 2.47
5 F 0.0354 0.1944 0.8097  2 Cu 1.95
6 F 0.7517 0.1902 0.3727  2 Cu 1.85-1.95
7 F 0.0779 0.7085 0.2961  2 Cu 1.99-2.00
8 F 0.5337 0.8078 0.1880  2 Cu 1.93
9 F 0.8343 0.3745 0.1963  2 Cu 1.84-1.95
10 F 0.8351 0.8046 0.6266  2 Cu 1.84-1.95
11 F 0.7527 0.6266 0.8095  2 Cu 1.85-1.95

Results
E ... -3.7026 eV/atom
Volume ... 16.822 Å³ per atom


[5]
This record from Alexandria via LeMat-Bulk describes a relaxed CuBrF2 crystal. The functional is PBE.

a b c (Å): 9.2263 9.2263 9.2263
angles (deg): 19.50 19.50 19.50
Last column: nearest neighbours and their distance in Å.
Sites, in units of the cell vectors:
1 Cu 0.5000 0.5000 0.5000  6 F 2.04
2 Br 0.0000 0.0000 0.0000  6 Br 3.12
3 F 0.8686 0.8686 0.8686  3 Cu 2.04
4 F 0.1314 0.1314 0.1314  3 Cu 2.04

Results
E ... -3.2770 eV/atom
Volume ... 19.125 Å³ per atom


[6]
This record from Alexandria via LeMat-Bulk describes a relaxed CuBr2F crystal. The functional is PBE.

a b c (Å): 6.2317 6.2317 6.6181
angles (deg): 61.91 61.91 90.00
Last column: nearest neighbours and their distance in Å.
Sites, in units of the cell vectors:
1 Cu 0.0000 0.0000 0.0000  4 Br 2.36
2 Cu 0.7500 0.2500 0.5000  4 Br 2.36
3 Br 0.6694 0.1250 0.2500  2 Cu 2.36
4 Br 0.0806 0.6250 0.2500  2 Cu 2.36
5 Br 0.3750 0.3306 0.7500  2 Cu 2.36
6 Br 0.8750 0.9194 0.7500  2 Cu 2.36
7 F 0.5000 0.5000 0.0000  4 Br 2.71
8 F 0.2500 0.7500 0.5000  4 Br 2.71

Results
E ... -2.4798 eV/atom
Volume ... 23.970 Å³ per atom


The highest volume belongs to which entry?
CuBr2F